Record 1
{"formula": "CsGe2PBr", "functional": "GGA-PBE", "state": "relaxed", "lattice_angstrom": [[6.186, 0.000, 0.000], [0.000, 6.030, 0.000], [0.000, 0.000, 6.186]], "species": ["Cs", "P", "Ge", "Ge", "Br"], "fractional_positions": [[0.000, 0.000, 0.000], [0.500, 0.500, 0.500], [0.000, 0.000, 0.500], [0.500, 0.000, 0.000], [0.000, 0.500, 0.000]], "sg": "P4/mmm (123)", "formation_energy_uncorrected_ev_per_atom": 1.5503, "total_magnetization_mub_per_atom": 0.17, "dft_energy_ry_per_atom": -0.1385}

Record 2
{"formula": "Al2SiSe", "functional": "GGA-PBE", "state": "relaxed", "lattice_angstrom": [[5.228, 0.000, 0.000], [0.000, 3.477, -0.004], [0.000, 0.004, 4.094]], "species": ["Si", "Al", "Al", "Se"], "fractional_positions": [[0.500, 0.875, 0.874], [0.000, 0.874, 0.877], [0.500, 0.375, 0.374], [0.000, 0.375, 0.375]], "sg": "Pmm2 (25)", "formation_energy_uncorrected_ev_per_atom": -0.1152, "relative_energy_ev_per_atom": 0.184, "total_magnetization_mub_per_atom": 0.00, "dft_energy_ry_per_atom": -0.3097}